The following is a DFT calculation (PBE) of crystalline PrNd2Co2C2N3 at its relaxed geometry.

Calculated values
Spin magnetization = 0.00 μB per atom
Uncorrected energy = -7.9259 eV per atom

Geometry as extended XYZ:
```
10
Lattice="9.9708 -1.9555 1.5142 9.1603 2.4227 3.9690 -10.1397 -1.5248 -0.6283" Properties=species:S:1:pos:R:3 pbc="T T T"
C 3.7522 0.0916 1.0754
C 15.3789 0.3756 4.4078
N 2.4084 0.0588 0.6903
N 16.7228 0.4084 4.7929
N 9.5656 0.2336 2.7416
Co 4.6983 -1.6233 1.8137
Co 4.2931 0.5658 3.0412
Pr 0.0000 0.0000 0.0000
Nd 12.0382 0.2940 3.4503
Nd 7.0929 0.1732 2.0329
```

***

The following is a DFT calculation (PBE) of crystalline NdSm2Co2C2N3 at its relaxed geometry.

Calculated values
Spin magnetization = 0.00 μB per atom
Uncorrected energy = -7.9743 eV per atom

Geometry as extended XYZ:
```
10
Lattice="2.9817 -9.6369 1.5022 2.9049 -7.6397 6.1002 -5.3361 7.9390 -3.5375" Properties=species:S:1:pos:R:3 pbc="T T T"
Co 0.2561 -4.1695 3.1820
Co 0.2944 -5.1680 0.8830
N 0.7317 -2.1475 0.9450
N 5.1549 -15.1290 6.6574
N 2.9433 -8.6383 3.8012
C 1.1515 -3.3796 1.4872
C 4.7351 -13.8969 6.1153
Sm 2.1856 -6.4145 2.8226
Sm 3.7010 -10.8621 4.7798
Nd 0.0000 0.0000 0.0000
```

***

The following is a DFT calculation (PBE) of crystalline PrCoC6N6 at its relaxed geometry.

Calculated values
Spin magnetization = 0.00 μB per atom
Uncorrected energy = -8.4232 eV per atom

Geometry as extended XYZ:
```
28
Lattice="7.5529 0.0000 0.0000 -3.7765 6.5410 0.0000 0.0000 0.0000 13.2031" Properties=species:S:1:pos:R:3 pbc="T T T"
N 3.7765 4.0877 4.8356
N -1.6518 5.3143 8.3675
N 1.6518 5.3143 8.3675
N 2.1246 1.2267 1.7660
N 5.4283 1.2267 1.7660
N 5.4283 1.2267 4.8356
N -1.6518 5.3143 11.4371
N 0.0000 2.4533 11.4371
N 0.0000 2.4533 8.3675
N 3.7765 4.0877 1.7660
N 2.1246 1.2267 4.8356
N 1.6518 5.3143 11.4371
C 3.7765 5.0328 5.5249
C 6.2467 0.7541 1.0766
C 6.2467 0.7541 5.5249
C 2.4703 5.7869 12.1265
C -2.4703 5.7869 7.6782
C -2.4703 5.7869 12.1265
C 2.4703 5.7869 7.6782
C 3.7765 5.0328 1.0766
C 0.0000 1.5083 12.1265
C 1.3062 0.7541 1.0766
C 0.0000 1.5083 7.6782
C 1.3062 0.7541 5.5249
Co 0.0000 0.0000 6.6016
Co 0.0000 0.0000 0.0000
Pr 3.7764 2.1803 3.3008
Pr 0.0000 4.3607 9.9023
```

***

The following is a DFT calculation (PBE) of crystalline Sr6CoC2N7 at its relaxed geometry.

Calculated values
Spin magnetization = 0.00 μB per atom
Uncorrected energy = -6.5483 eV per atom

Geometry as extended XYZ:
```
32
Lattice="-8.6664 -1.7520 4.2958 -3.3083 -9.5272 -10.5596 1.5899 -2.8285 2.0538" Properties=species:S:1:pos:R:3 pbc="T T T"
Sr -6.5629 -9.3969 -7.4269
Sr -1.4896 -2.5827 1.6151
Sr -3.8336 -5.3534 -0.7734
Sr -0.4119 -6.4934 -1.8777
Sr -6.5328 -8.7870 -3.4127
Sr -7.6096 -4.5390 3.1879
Sr -5.2197 -2.2241 1.4114
Sr -8.5751 -10.1008 -0.5266
Sr -3.2952 -7.0006 -3.9292
Sr -7.2796 -6.7691 -0.5261
Sr -2.7936 -9.5358 -7.4216
Sr -8.7053 -11.8629 -5.5796
N -0.9629 -5.9933 -4.3869
N -6.6723 -7.1257 2.3333
N -3.4682 -2.5034 -0.5646
N -4.5289 -9.3894 -9.2272
N -9.4085 -9.7101 -3.4505
N -5.3144 -5.2877 1.3727
N -3.4346 -2.4747 3.3088
N -1.3975 -3.6482 -1.3035
N -4.6492 -9.5692 -5.0386
N -2.2104 -9.6542 -4.6028
N -7.3582 -2.0456 3.0766
N -6.0577 -9.1882 -0.9824
N -2.8249 -7.5921 -1.2869
N -8.4186 -8.9320 -5.5857
C -2.4140 -3.0178 -0.9735
C -5.9343 -6.2489 1.8539
C -8.9788 -9.2965 -4.5386
C -3.4425 -9.6520 -4.7616
Co 0.0374 -0.0665 0.0483
Co -4.4348 -8.4016 -1.1263
```

***

The following is a DFT calculation (PBE) of crystalline Sr3CoC3N3 at its relaxed geometry.

Calculated values
Spin magnetization = 0.00 μB per atom
Uncorrected energy = -7.0938 eV per atom

Geometry as extended XYZ:
```
20
Lattice="8.6799 0.0000 0.0000 -4.3399 7.5170 0.0000 0.0000 0.0000 5.3808" Properties=species:S:1:pos:R:3 pbc="T T T"
Sr 5.3911 4.7093 1.3452
Sr 2.4340 5.2028 4.0356
Sr -1.3829 7.0235 4.0356
Sr -1.0512 2.8076 4.0356
Sr 5.7228 0.4935 1.3452
Sr 1.9059 2.3142 1.3452
C 5.0172 4.1213 4.0356
C -0.6773 3.3957 1.3452
C 5.4005 1.1113 4.0356
C 1.7378 5.2326 1.3452
C 2.6021 2.2844 4.0356
C -1.0606 6.4057 1.3452
N 1.3759 2.0675 4.0356
N 2.9640 5.4494 1.3452
N -1.8614 7.3591 1.3452
N 6.2014 0.1578 4.0356
N 5.4425 5.2916 4.0356
N -1.1026 2.2254 1.3452
Co 0.0000 5.0113 1.3452
Co 4.3399 2.5056 4.0356
```

***

The following is a DFT calculation (PBE) of crystalline Tb2TmCo2C2N3 at its relaxed geometry.

Calculated values
Spin magnetization = 0.00 μB per atom
Uncorrected energy = -8.0778 eV per atom

Geometry as extended XYZ:
```
10
Lattice="-1.5467 -9.4608 2.7048 -2.3414 -6.9145 6.7765 -0.4066 8.4024 -5.3337" Properties=species:S:1:pos:R:3 pbc="T T T"
Co -2.3460 -3.3499 3.0917
Co -1.9487 -4.6230 1.0559
N -0.4627 -1.9486 1.1282
N -3.4255 -14.4267 8.3531
N -1.9441 -8.1876 4.7407
Tb -1.4509 -6.1104 3.5380
Tb -2.4373 -10.2649 5.9434
C -3.1374 -13.2134 7.6506
C -0.7508 -3.1619 1.8307
Tm 0.0000 0.0000 0.0000
```

***

The following is a DFT calculation (PBE) of crystalline Tb2YCo2C2N3 at its relaxed geometry.

Calculated values
Spin magnetization = 0.00 μB per atom
Uncorrected energy = -8.2520 eV per atom

Geometry as extended XYZ:
```
10
Lattice="10.0165 -0.3424 0.1107 8.6796 -3.3870 3.6949 -9.3938 0.0104 -3.4950" Properties=species:S:1:pos:R:3 pbc="T T T"
N 9.3480 -1.8647 1.9028
N 2.2533 -0.4495 0.4587
N 16.4427 -3.2799 3.3470
Y 0.0000 0.0000 0.0000
Tb 6.9634 -1.3890 1.4174
Tb 11.7326 -2.3404 2.3882
Co 4.9853 -1.0984 -0.7407
Co 4.3169 -2.6206 1.0514
C 15.0723 -3.0065 3.0680
C 3.6238 -0.7229 0.7376
```

***

The following is a DFT calculation (PBE) of crystalline Co2W4CN at its relaxed geometry.

Calculated values
Spin magnetization = 0.16 μB per atom
Uncorrected energy = -10.2189 eV per atom

Geometry as extended XYZ:
```
8
Lattice="2.9102 0.0000 0.0000 -1.4551 2.5203 0.0000 0.0000 0.0000 13.4619" Properties=species:S:1:pos:R:3 pbc="T T T"
C 0.0000 0.0000 0.0000
W 0.0000 1.6802 1.2652
W 0.0000 1.6802 5.3506
W 1.4551 0.8401 8.1113
W 1.4551 0.8401 12.1967
Co 0.0000 1.6802 10.1656
Co 1.4551 0.8401 3.2962
N 0.0000 0.0000 6.7309
```